Sm2TmGe3Rh4: relaxed, GGA-PBE.

Summary:
Crystal system: tetragonal

Cell lengths 4.1603, 4.1603, 11.1569 Å; angles 90.00, 90.00, 90.00 degrees
Fractional positions:
Ge1 0.5000 0.0000 0.8771
Ge2 0.0000 0.0000 0.5000
Ge3 0.0000 0.5000 0.1229
Sm1 0.5000 0.0000 0.2296
Sm2 0.0000 0.5000 0.7704
Rh1 0.0000 0.0000 0.0000
Rh2 0.0000 0.5000 0.3434
Rh3 0.5000 0.5000 0.0000
Rh4 0.5000 0.0000 0.6566
Tm1 0.5000 0.5000 0.5000

SmTmGeRh: relaxed, GGA-PBE.

Summary:
Crystal system: cubic

Cell lengths 4.9729, 4.9729, 4.9729 Å; angles 60.00, 60.00, 60.00 degrees
Fractional positions:
Ge1 0.2500 0.2500 0.2500
Tm1 0.0000 0.0000 0.0000
Rh1 0.7500 0.7500 0.7500
Sm1 0.5000 0.5000 0.5000

Sm2TmGe2Rh5: relaxed, GGA-PBE.

Summary:
Crystal system: tetragonal

Cell lengths 3.6637, 10.0491, 10.0491 Å; angles 90.00, 90.00, 90.00 degrees
Fractional positions:
Rh1 0.5000 0.7834 0.9310
Rh2 0.5000 0.5000 0.0000
Rh3 0.5000 0.7166 0.4310
Rh4 0.5000 0.0690 0.7834
Rh5 0.5000 0.2834 0.5690
Rh6 0.5000 0.4310 0.2834
Rh7 0.5000 0.5690 0.7166
Rh8 0.5000 0.9310 0.2166
Rh9 0.5000 0.2166 0.0690
Rh10 0.5000 0.0000 0.5000
Sm1 0.0000 0.8258 0.6742
Sm2 0.0000 0.6742 0.1742
Sm3 0.0000 0.3258 0.8258
Sm4 0.0000 0.1742 0.3258
Ge1 0.0000 0.3775 0.1225
Ge2 0.0000 0.6225 0.8775
Ge3 0.0000 0.1225 0.6225
Ge4 0.0000 0.8775 0.3775
Tm1 0.0000 0.0000 0.0000
Tm2 0.0000 0.5000 0.5000

SmUGe2Rh5: relaxed, GGA-PBE.

Summary:
Crystal system: tetragonal

Cell lengths 4.2062, 4.2062, 8.9325 Å; angles 90.00, 90.00, 90.00 degrees
Last column: magnetic moment on the atom in μB.
Fractional positions:
Ge1 0.5000 0.5000 0.1382  -0.02
Ge2 0.5000 0.5000 0.8618  -0.02
U1 0.0000 0.0000 0.0000  1.93
Rh1 0.5000 0.0000 0.7352  -0.09
Rh2 0.5000 0.0000 0.2648  -0.09
Rh3 0.0000 0.5000 0.7352  -0.09
Rh4 0.5000 0.5000 0.5000  -0.16
Rh5 0.0000 0.5000 0.2648  -0.09
Sm1 0.0000 0.0000 0.5000  0.01

Sm2Zn2GeRh5: relaxed, GGA-PBE.

Summary:
Crystal system: tetragonal

Cell lengths 3.5448, 9.7912, 9.7912 Å; angles 90.00, 90.00, 90.00 degrees
Fractional positions:
Sm1 0.0000 0.1732 0.3268
Sm2 0.0000 0.8268 0.6732
Sm3 0.0000 0.3268 0.8268
Sm4 0.0000 0.6732 0.1732
Rh1 0.5000 0.0613 0.8019
Rh2 0.5000 0.4387 0.3019
Rh3 0.5000 0.8019 0.9387
Rh4 0.5000 0.0000 0.5000
Rh5 0.5000 0.5613 0.6981
Rh6 0.5000 0.1981 0.0613
Rh7 0.5000 0.9387 0.1981
Rh8 0.5000 0.3019 0.5613
Rh9 0.5000 0.5000 0.0000
Rh10 0.5000 0.6981 0.4387
Zn1 0.0000 0.8734 0.3734
Zn2 0.0000 0.1266 0.6266
Zn3 0.0000 0.3734 0.1266
Zn4 0.0000 0.6266 0.8734
Ge1 0.0000 0.0000 0.0000
Ge2 0.0000 0.5000 0.5000

SmZnGe2Rh: relaxed, GGA-PBE.

Summary:
Crystal system: tetragonal

Cell lengths 4.1019, 4.1019, 6.1704 Å; angles 109.41, 109.41, 90.00 degrees
Fractional positions:
Ge1 0.3849 0.3849 0.7698
Ge2 0.6151 0.6151 0.2302
Rh1 0.7500 0.2500 0.5000
Sm1 0.0000 0.0000 0.0000
Zn1 0.2500 0.7500 0.5000

Sm2ZnGe3Rh4: relaxed, GGA-PBE.

Summary:
Crystal system: tetragonal

Cell lengths 4.2177, 4.2177, 10.2322 Å; angles 90.00, 90.00, 90.00 degrees
Fractional positions:
Rh1 0.5000 0.0000 0.6328
Rh2 0.0000 0.5000 0.3672
Rh3 0.0000 0.0000 0.0000
Rh4 0.5000 0.5000 0.0000
Ge1 0.0000 0.5000 0.1297
Ge2 0.0000 0.0000 0.5000
Ge3 0.5000 0.0000 0.8703
Sm1 0.5000 0.0000 0.2508
Sm2 0.0000 0.5000 0.7492
Zn1 0.5000 0.5000 0.5000

SnGe2Rh4: relaxed, GGA-PBE.

Summary:
Crystal system: tetragonal

Cell lengths 4.8222, 4.8222, 7.0549 Å; angles 70.02, 70.02, 90.00 degrees
Fractional positions:
Rh1 0.7920 0.7920 0.4159
Rh2 0.0000 0.5000 0.0000
Rh3 0.2080 0.2080 0.5841
Rh4 0.5000 0.0000 0.0000
Sn1 0.0000 0.0000 0.0000
Ge1 0.6051 0.6051 0.7898
Ge2 0.3949 0.3949 0.2102

Sn2Ge2Rh3: relaxed, GGA-PBE.

Summary:
Crystal system: monoclinic

Cell lengths 4.0407, 6.3874, 5.8417 Å; angles 98.37, 89.97, 108.42 degrees
Fractional positions:
Sn1 0.8332 0.6669 0.6422
Sn2 0.1668 0.3331 0.3578
Ge1 0.6042 0.2087 0.8900
Ge2 0.3958 0.7913 0.1100
Rh1 0.7886 0.5768 0.1778
Rh2 0.2114 0.4232 0.8222
Rh3 0.0000 0.0000 0.0000

Sn2GeRh2: relaxed, GGA-PBE.

Summary:
Crystal system: tetragonal

Cell lengths 7.7290, 7.7290, 3.0923 Å; angles 90.00, 90.00, 90.00 degrees
Fractional positions:
Rh1 0.8570 0.6430 0.0000
Rh2 0.6430 0.1430 0.0000
Rh3 0.3570 0.8570 0.0000
Rh4 0.1430 0.3570 0.0000
Sn1 0.6540 0.8460 0.5000
Sn2 0.3460 0.1540 0.5000
Sn3 0.1540 0.6540 0.5000
Sn4 0.8460 0.3460 0.5000
Ge1 0.0000 0.0000 0.0000
Ge2 0.5000 0.5000 0.0000

Sn3Ge2Rh4: relaxed, GGA-PBE.

Summary:
Crystal system: monoclinic

Cell lengths 6.3996, 7.2798, 7.2798 Å; angles 83.04, 92.62, 92.62 degrees
Fractional positions:
Rh1 0.0825 0.3203 0.4675
Rh2 0.4175 0.5325 0.6797
Rh3 0.0281 0.2245 0.9418
Rh4 0.9175 0.6797 0.5325
Rh5 0.5825 0.4675 0.3203
Rh6 0.9719 0.7755 0.0582
Rh7 0.5281 0.9418 0.2245
Rh8 0.4719 0.0582 0.7755
Sn1 0.7500 0.3306 0.6694
Sn2 0.2500 0.6694 0.3306
Sn3 0.0608 0.9641 0.7163
Sn4 0.4392 0.2837 0.0359
Sn5 0.5608 0.7163 0.9641
Sn6 0.9392 0.0359 0.2837
Ge1 0.0926 0.5636 0.8371
Ge2 0.9074 0.4364 0.1629
Ge3 0.5926 0.8371 0.5636
Ge4 0.4074 0.1629 0.4364

SnGe3Rh: relaxed, GGA-PBE.

Summary:
E above lowest polymorph (eV/f.u.): 0.00
Crystal system: cubic

Cell lengths 4.8427, 4.8427, 4.8427 Å; angles 90.00, 90.00, 90.00 degrees
Fractional positions:
Ge1 0.5000 0.0000 0.0000
Ge2 0.0000 0.5000 0.0000
Ge3 0.0000 0.0000 0.5000
Rh1 0.0000 0.0000 0.0000
Sn1 0.5000 0.5000 0.5000

SnGeRh2: relaxed, GGA-PBE.

Summary:
Crystal system: tetragonal

Cell lengths 5.5764, 5.5764, 7.1535 Å; angles 67.06, 67.06, 90.00 degrees
Fractional positions:
Rh1 0.1601 0.6250 0.2500
Rh2 0.5899 0.1250 0.2500
Rh3 0.3750 0.4101 0.7500
Rh4 0.8750 0.8399 0.7500
Ge1 0.2500 0.7500 0.5000
Ge2 0.5000 0.5000 0.0000
Sn1 0.7500 0.2500 0.5000
Sn2 0.0000 0.0000 0.0000

Sn6GeRh12: relaxed, GGA-PBE.

Summary:
Crystal system: trigonal

Cell lengths 7.2248, 7.2248, 7.2248 Å; angles 99.01, 99.01, 99.01 degrees
Fractional positions:
Rh1 0.7001 0.9702 0.1326
Rh2 0.6226 0.1748 0.4933
Rh3 0.9702 0.1326 0.7001
Rh4 0.1326 0.7001 0.9702
Rh5 0.4933 0.6226 0.1748
Rh6 0.1748 0.4933 0.6226
Rh7 0.8252 0.5067 0.3774
Rh8 0.0298 0.8674 0.2999
Rh9 0.8674 0.2999 0.0298
Rh10 0.5067 0.3774 0.8252
Rh11 0.2999 0.0298 0.8674
Rh12 0.3774 0.8252 0.5067
Sn1 0.7359 0.8393 0.4791
Sn2 0.4791 0.7359 0.8393
Sn3 0.8393 0.4791 0.7359
Sn4 0.1607 0.5209 0.2641
Sn5 0.2641 0.1607 0.5209
Sn6 0.5209 0.2641 0.1607
Ge1 0.0000 0.0000 0.0000

SnGeRh2: relaxed, GGA-PBE.

Summary:
Crystal system: trigonal

Cell lengths 3.9680, 3.9680, 5.6257 Å; angles 69.35, 69.35, 60.00 degrees
Fractional positions:
Ge1 0.6739 0.6739 0.9784
Rh1 0.0650 0.0650 0.8050
Rh2 0.2664 0.2664 0.2008
Sn1 0.4947 0.4947 0.5158

Sn2GeRh3: relaxed, GGA-PBE.

Summary:
Crystal system: monoclinic

Cell lengths 3.9065, 6.4456, 8.6363 Å; angles 99.42, 90.00, 90.00 degrees
Fractional positions:
Ge1 0.7500 0.4304 0.1731
Ge2 0.2500 0.5696 0.8269
Rh1 0.2500 0.4151 0.3532
Rh2 0.7500 0.6977 0.9877
Rh3 0.7500 0.7858 0.3240
Rh4 0.2500 0.3023 0.0123
Rh5 0.2500 0.2142 0.6760
Rh6 0.7500 0.5849 0.6468
Sn1 0.7500 0.0402 0.8397
Sn2 0.2500 0.8076 0.5378
Sn3 0.7500 0.1924 0.4622
Sn4 0.2500 0.9598 0.1603

SnGeRh2: relaxed, GGA-PBE.

Summary:
Crystal system: monoclinic

Cell lengths 5.7923, 6.5601, 7.2468 Å; angles 90.00, 90.00, 90.00 degrees
Fractional positions:
Rh1 0.0067 0.7920 0.5960
Rh2 0.0097 0.7861 0.1673
Rh3 0.5097 0.7139 0.1673
Rh4 0.4903 0.2861 0.8327
Rh5 0.5067 0.7080 0.5960
Rh6 0.9933 0.2080 0.4040
Rh7 0.4933 0.2920 0.4040
Rh8 0.9903 0.2139 0.8327
Ge1 0.6975 0.0536 0.6189
Ge2 0.8025 0.5536 0.3811
Ge3 0.3025 0.9464 0.3811
Ge4 0.1975 0.4464 0.6189
Sn1 0.2902 0.9027 0.8810
Sn2 0.7902 0.5973 0.8810
Sn3 0.2098 0.4027 0.1190
Sn4 0.7098 0.0973 0.1190

Sn2GeRh3: relaxed, GGA-PBE.

Summary:
Crystal system: orthorhombic

Cell lengths 5.7432, 6.6342, 6.6342 Å; angles 120.33, 90.00, 90.00 degrees
Fractional positions:
Sn1 0.2194 0.4768 0.8371
Sn2 0.2194 0.8371 0.4768
Sn3 0.7194 0.1629 0.5232
Sn4 0.7194 0.5232 0.1629
Rh1 0.4697 0.5003 0.5003
Rh2 0.4697 0.8620 0.1378
Rh3 0.4697 0.1378 0.8620
Rh4 0.9697 0.8622 0.1380
Rh5 0.9697 0.4997 0.4997
Rh6 0.9697 0.1380 0.8622
Ge1 0.7198 0.8083 0.8083
Ge2 0.2198 0.1917 0.1917

SnGeRh4: relaxed, GGA-PBE.

Summary:
E above lowest polymorph (eV/f.u.): 0.00
Crystal system: orthorhombic

Cell lengths 2.9493, 7.2124, 17.3237 Å; angles 90.00, 90.00, 90.00 degrees
Fractional positions:
Rh1 0.2500 0.5080 0.7064
Rh2 0.7500 0.9684 0.9297
Rh3 0.2500 0.0080 0.7936
Rh4 0.2500 0.5316 0.4297
Rh5 0.7500 0.8977 0.4406
Rh6 0.7500 0.3238 0.8413
Rh7 0.2500 0.0316 0.0703
Rh8 0.2500 0.6762 0.1587
Rh9 0.7500 0.3977 0.0594
Rh10 0.7500 0.4684 0.5703
Rh11 0.7500 0.8238 0.6587
Rh12 0.2500 0.1762 0.3413
Rh13 0.2500 0.1023 0.5594
Rh14 0.2500 0.6023 0.9406
Rh15 0.7500 0.4920 0.2936
Rh16 0.7500 0.9920 0.2064
Sn1 0.7500 0.1957 0.6870
Sn2 0.2500 0.8043 0.3130
Sn3 0.7500 0.6957 0.8130
Sn4 0.2500 0.3043 0.1870
Ge1 0.2500 0.2491 0.9545
Ge2 0.2500 0.7491 0.5455
Ge3 0.7500 0.2509 0.4545
Ge4 0.7500 0.7509 0.0455

SnGeRh2: relaxed, GGA-PBE.

Summary:
Crystal system: tetragonal

Cell lengths 3.3720, 4.3765, 4.3765 Å; angles 90.00, 90.00, 90.00 degrees
Fractional positions:
Sn1 0.5000 0.0000 0.0000
Rh1 0.0000 0.5000 0.0000
Rh2 0.0000 0.0000 0.5000
Ge1 0.5000 0.5000 0.5000

Sn5Ge2Rh12: relaxed, GGA-PBE.

Summary:
Crystal system: monoclinic

Cell lengths 5.6579, 9.0647, 9.1660 Å; angles 127.40, 90.00, 108.18 degrees
Fractional positions:
Rh1 0.4955 0.9909 0.7689
Rh2 0.0794 0.6691 0.9248
Rh3 0.0088 0.0176 0.2272
Rh4 0.1107 0.7070 0.4495
Rh5 0.5045 0.0091 0.2311
Rh6 0.5963 0.7070 0.4495
Rh7 0.8893 0.2930 0.5505
Rh8 0.9912 0.9824 0.7728
Rh9 0.5897 0.6691 0.9248
Rh10 0.4103 0.3309 0.0752
Rh11 0.4037 0.2930 0.5505
Rh12 0.9206 0.3309 0.0752
Sn1 0.2973 0.5947 0.6295
Sn2 0.7027 0.4053 0.3705
Sn3 0.3264 0.6527 0.1638
Sn4 0.6736 0.3473 0.8362
Sn5 0.0000 0.0000 0.5000
Ge1 0.2513 0.0000 0.0000
Ge2 0.7487 0.0000 0.0000

Number 1: ΔE_f -0.8975 eV per atom. Number 2: ΔE_f -0.7018 eV per atom. Number 3: ΔE_f -0.8356 eV per atom. Number 4: ΔE_f -0.5625 eV per atom. Number 5: ΔE_f -0.5859 eV per atom. Number 6: ΔE_f -0.6613 eV per atom. Number 7: ΔE_f -0.8241 eV per atom. Number 8: ΔE_f 0.5818 eV per atom. Number 9: ΔE_f -0.3388 eV per atom. Number 10: ΔE_f -0.2411 eV per atom. Number 11: ΔE_f -0.2987 eV per atom. Number 12: ΔE_f 0.1592 eV per atom. Number 13: ΔE_f 0.0444 eV per atom. Number 14: ΔE_f -0.1131 eV per atom. Number 15: ΔE_f -0.4180 eV per atom. Number 16: ΔE_f -0.4576 eV per atom. Number 17: ΔE_f -0.5455 eV per atom. Number 18: ΔE_f -0.5078 eV per atom. Number 19: ΔE_f -0.3319 eV per atom. Number 20: ΔE_f -0.2851 eV per atom. Number 21: ΔE_f -0.1816 eV per atom.